1.
Here is crystalline Cu2TcBiRh at its relaxed geometry from the Alexandria database. Energies are from GGA-PBEsol.

Unit cell a=4.504 b=4.504 c=5.033 alpha=90.00 beta=90.00 gamma=90.00
Space group P4/mmm (No. 123)
Asymmetric unit:
Cu 0.000 0.500 0.000 (multiplicity 2)
Tc 0.000 0.000 0.000 (multiplicity 1)
Bi 0.000 0.000 0.500 (multiplicity 1)
Rh 0.500 0.500 0.500 (multiplicity 1)

Calculated values
DOS(E_F) = 7.41 states/eV/f.u.
E_tot = -4.960 eV/atom
Crystal system = tetragonal

2.
Here is crystalline Cu3BiS3 at its relaxed geometry from the Alexandria database. Energies are from GGA-PBEsol.

Unit cell a=6.262 b=7.442 c=10.446 alpha=90.00 beta=90.00 gamma=90.00
Space group P2_12_12_1 (No. 19)
Asymmetric unit:
Cu 0.005 0.215 0.393 (multiplicity 4)
Cu 0.018 0.057 0.054 (multiplicity 4)
Cu 0.106 0.389 0.079 (multiplicity 4)
Bi 0.101 0.146 0.737 (multiplicity 4)
S 0.120 0.812 0.573 (multiplicity 4)
S 0.137 0.831 0.927 (multiplicity 4)
S 0.155 0.545 0.258 (multiplicity 4)

Calculated values
E_tot = -4.580 eV/atom
Formation energy (no corrections) = -1.62 eV/f.u.
Crystal system = orthorhombic

3.
Here is crystalline Cu4Bi7S12 at its relaxed geometry from the Alexandria database. Energies are from GGA-PBEsol.

Unit cell a=17.909 b=3.907 c=14.833 alpha=90.00 beta=101.47 gamma=90.00
Space group C2/m (No. 12)
Asymmetric unit:
Cu 0.094 0.000 0.495 (multiplicity 4)
Cu 0.168 0.000 0.139 (multiplicity 4)
Bi 0.000 0.500 0.000 (multiplicity 2)
Bi 0.000 0.500 0.280 (multiplicity 4)
Bi 0.171 0.000 0.905 (multiplicity 4)
Bi 0.244 0.500 0.369 (multiplicity 4)
S 0.016 0.000 0.874 (multiplicity 4)
S 0.022 0.000 0.607 (multiplicity 4)
S 0.151 0.000 0.283 (multiplicity 4)
S 0.156 0.500 0.775 (multiplicity 4)
S 0.162 0.500 0.059 (multiplicity 4)
S 0.163 0.500 0.498 (multiplicity 4)

Calculated values
DOS(E_F) = 3.37 states/eV/f.u.
E_tot = -4.645 eV/atom
Formation energy (no corrections) = -6.89 eV/f.u.
Crystal system = monoclinic

4.
Here is crystalline Cu4Bi5S10 at its relaxed geometry from the Alexandria database. Energies are from GGA-PBEsol.

Unit cell a=17.219 b=3.836 c=12.656 alpha=90.00 beta=107.63 gamma=90.00
Space group C2/m (No. 12)
Asymmetric unit:
Cu 0.097 0.000 0.010 (multiplicity 4)
Cu 0.215 0.500 0.553 (multiplicity 4)
Bi 0.000 0.000 0.500 (multiplicity 2)
Bi 0.093 0.500 0.275 (multiplicity 4)
Bi 0.192 0.000 0.834 (multiplicity 4)
S 0.023 0.000 0.132 (multiplicity 4)
S 0.044 0.500 0.669 (multiplicity 4)
S 0.153 0.000 0.471 (multiplicity 4)
S 0.166 0.500 0.004 (multiplicity 4)
S 0.240 0.000 0.261 (multiplicity 4)

Calculated values
DOS(E_F) = 7.72 states/eV/f.u.
E_tot = -4.669 eV/atom
Formation energy (no corrections) = -6.10 eV/f.u.
Crystal system = monoclinic

5.
Here is crystalline Cu6BiS6 at its relaxed geometry from the Alexandria database. Energies are from GGA-PBEsol.

Unit cell a=3.693 b=3.861 c=18.404 alpha=89.67 beta=89.98 gamma=61.49
Space group P1 (No. 1)
Asymmetric unit:
Cu 0.000 0.000 0.000 (multiplicity 1)
Cu 0.013 0.969 0.756 (multiplicity 1)
Cu 0.143 0.694 0.534 (multiplicity 1)
Cu 0.307 0.380 0.666 (multiplicity 1)
Cu 0.346 0.288 0.425 (multiplicity 1)
Cu 0.806 0.383 0.867 (multiplicity 1)
Bi 0.656 0.677 0.214 (multiplicity 1)
S 0.327 0.341 0.798 (multiplicity 1)
S 0.331 0.325 0.305 (multiplicity 1)
S 0.661 0.659 0.465 (multiplicity 1)
S 0.674 0.652 0.972 (multiplicity 1)
S 0.971 0.049 0.633 (multiplicity 1)
S 0.981 0.028 0.123 (multiplicity 1)

Calculated values
DOS(E_F) = 8.51 states/eV/f.u.
E_tot = -4.541 eV/atom
Formation energy (no corrections) = -2.44 eV/f.u.
Crystal system = triclinic

6.
Here is crystalline CuBi5S8 at its relaxed geometry from the Alexandria database. Energies are from GGA-PBEsol.

Unit cell a=13.002 b=4.005 c=14.080 alpha=90.00 beta=115.14 gamma=90.00
Space group C2 (No. 5)
Asymmetric unit:
Cu 0.000 0.000 0.000 (multiplicity 2)
Bi 0.000 0.298 0.500 (multiplicity 2)
Bi 0.155 0.799 0.344 (multiplicity 4)
Bi 0.209 0.812 0.862 (multiplicity 4)
S 0.001 0.298 0.699 (multiplicity 4)
S 0.125 0.284 0.952 (multiplicity 4)
S 0.143 0.799 0.152 (multiplicity 4)
S 0.166 0.797 0.570 (multiplicity 4)

Calculated values
DOS(E_F) = 0.91 states/eV/f.u.
E_tot = -4.704 eV/atom
Formation energy (no corrections) = -5.02 eV/f.u.
Crystal system = monoclinic

7.
Here is crystalline CuBiSb2Te at its relaxed geometry from the Alexandria database. Energies are from GGA-PBEsol.

Unit cell a=5.778 b=5.778 c=5.746 alpha=90.00 beta=90.00 gamma=90.00
Space group P4/mmm (No. 123)
Asymmetric unit:
Cu 0.000 0.000 0.000 (multiplicity 1)
Bi 0.500 0.500 0.500 (multiplicity 1)
Sb 0.000 0.500 0.500 (multiplicity 2)
Te 0.500 0.500 0.000 (multiplicity 1)

Calculated values
DOS(E_F) = 6.38 states/eV/f.u.
E_tot = -2.932 eV/atom
Formation energy (no corrections) = 6.60 eV/f.u.
Crystal system = tetragonal

8.
Here is crystalline ScCu2TcBi at its relaxed geometry from the Alexandria database. Energies are from GGA-PBEsol.

Unit cell a=4.723 b=4.723 c=5.465 alpha=90.00 beta=90.00 gamma=90.00
Space group P4/mmm (No. 123)
Asymmetric unit:
Sc 0.000 0.000 0.000 (multiplicity 1)
Cu 0.000 0.500 0.500 (multiplicity 2)
Tc 0.500 0.500 0.000 (multiplicity 1)
Bi 0.000 0.000 0.500 (multiplicity 1)

Calculated values
DOS(E_F) = 3.38 states/eV/f.u.
E_tot = -4.690 eV/atom
Crystal system = tetragonal

9.
Here is crystalline CuBiSe3 at its relaxed geometry from the Alexandria database. Energies are from GGA-PBEsol.

Unit cell a=4.746 b=4.746 c=4.746 alpha=90.00 beta=90.00 gamma=90.00
Space group Pm-3m (No. 221)
Asymmetric unit:
Cu 0.000 0.000 0.000 (multiplicity 1)
Bi 0.500 0.500 0.500 (multiplicity 1)
Se 0.000 0.000 0.500 (multiplicity 3)

Calculated values
DOS(E_F) = 3.16 states/eV/f.u.
E_tot = -3.913 eV/atom
Formation energy (no corrections) = 0.61 eV/f.u.
ΔE to the lowest computed polymorph = 0.0 meV/atom
Crystal system = cubic

10.
Here is crystalline CuBiSe2 at its relaxed geometry from the Alexandria database. Energies are from GGA-PBEsol.

Unit cell a=3.5371 b=3.5371 c=25.4605 alpha=90.00 beta=90.00 gamma=120.00
Space group R-3m (No. 166, hexagonal axes)
Asymmetric unit:
Cu 0.0000 0.0000 0.0000 (multiplicity 3)
Bi 0.0000 0.0000 0.5000 (multiplicity 3)
Se 0.0000 0.0000 0.3865 (multiplicity 6)

Calculated values
DOS(E_F) = 2.97 states/eV/f.u.
E_tot = -4.127 eV/atom
Formation energy (no corrections) = -0.19 eV/f.u.
Crystal system = trigonal

11.
Here is crystalline CuBiSe2 at its relaxed geometry from the Alexandria database. Energies are from GGA-PBEsol.

Unit cell a=4.3190 b=4.3190 c=22.4875 alpha=90.00 beta=90.00 gamma=120.00
Space group R-3m (No. 166, hexagonal axes)
Asymmetric unit:
Cu 0.0000 0.0000 0.0000 (multiplicity 3)
Bi 0.0000 0.0000 0.5000 (multiplicity 3)
Se 0.0000 0.0000 0.0987 (multiplicity 6)

Calculated values
E_tot = -4.174 eV/atom
Formation energy (no corrections) = -0.37 eV/f.u.
Crystal system = trigonal

12.
Here is crystalline CuBi3Se at its relaxed geometry from the Alexandria database. Energies are from GGA-PBEsol.

Unit cell a=5.151 b=5.151 c=5.151 alpha=90.00 beta=90.00 gamma=90.00
Space group Pm-3m (No. 221)
Asymmetric unit:
Cu 0.000 0.000 0.000 (multiplicity 1)
Bi 0.000 0.000 0.500 (multiplicity 3)
Se 0.500 0.500 0.500 (multiplicity 1)

Calculated values
DOS(E_F) = 5.56 states/eV/f.u.
E_tot = -3.757 eV/atom
Formation energy (no corrections) = 2.26 eV/f.u.
Crystal system = cubic